[1]
The following is a meta-GGA SCAN calculation of a crystal of Sc2SiRh relaxed with PBEsol, from Alexandria via LeMat-Bulk.

CIF file:
```
data_Sc2SiRh
_cell_length_a 4.170
_cell_length_b 5.314
_cell_length_c 5.314
_cell_angle_alpha 36.26
_cell_angle_beta 90.00
_cell_angle_gamma 90.00
_symmetry_space_group_name_H-M 'P 1'
_symmetry_Int_Tables_number 1
_symmetry_space_group_name_Hall 'P 1'
loop_
_atom_site_label
_atom_site_fract_x
_atom_site_fract_y
_atom_site_fract_z
Sc1 0.000 0.000 0.000
Sc2 0.500 0.297 0.297
Si1 0.000 0.720 0.720
Rh1 0.500 0.573 0.573
```

---

[2]
The following is a meta-GGA SCAN calculation of a crystal of MnBeSb2 relaxed with PBEsol, from Alexandria via LeMat-Bulk.

CIF file:
```
data_MnBeSb2
_cell_length_a 4.906
_cell_length_b 4.906
_cell_length_c 3.036
_cell_angle_alpha 90.00
_cell_angle_beta 90.00
_cell_angle_gamma 90.00
_symmetry_space_group_name_H-M 'P 1'
_symmetry_Int_Tables_number 1
_symmetry_space_group_name_Hall 'P 1'
loop_
_atom_site_label
_atom_site_fract_x
_atom_site_fract_y
_atom_site_fract_z
Mn1 0.000 0.000 0.000
Be1 0.500 0.500 0.000
Sb1 0.000 0.500 0.500
Sb2 0.500 0.000 0.500
```

---

[3]
The following is a meta-GGA SCAN calculation of a crystal of Cs2Bi8Se13 relaxed with PBEsol, from Alexandria via LeMat-Bulk.

CIF file:
```
data_Cs2Bi8Se13
_cell_length_a 13.685
_cell_length_b 4.149
_cell_length_c 24.929
_cell_angle_alpha 90.00
_cell_angle_beta 96.92
_cell_angle_gamma 90.00
_symmetry_space_group_name_H-M 'P 1'
_symmetry_Int_Tables_number 1
_symmetry_space_group_name_Hall 'P 1'
loop_
_atom_site_label
_atom_site_fract_x
_atom_site_fract_y
_atom_site_fract_z
Cs1 0.079 0.250 0.119
Cs2 0.224 0.750 0.362
Cs3 0.776 0.250 0.638
Cs4 0.921 0.750 0.881
Bi1 0.065 0.750 0.733
Bi2 0.079 0.250 0.564
Bi3 0.225 0.750 0.968
Bi4 0.309 0.250 0.830
Bi5 0.376 0.750 0.213
Bi6 0.380 0.750 0.692
Bi7 0.447 0.250 0.559
Bi8 0.455 0.250 0.071
Bi9 0.545 0.750 0.929
Bi10 0.553 0.750 0.441
Bi11 0.620 0.250 0.308
Bi12 0.624 0.250 0.787
Bi13 0.691 0.750 0.170
Bi14 0.775 0.250 0.032
Bi15 0.921 0.750 0.436
Bi16 0.935 0.250 0.267
Se1 0.011 0.250 0.373
Se2 0.054 0.750 0.239
Se3 0.093 0.250 0.978
Se4 0.110 0.750 0.486
Se5 0.177 0.750 0.854
Se6 0.237 0.250 0.719
Se7 0.253 0.250 0.236
Se8 0.302 0.750 0.584
Se9 0.315 0.750 0.088
Se10 0.395 0.250 0.951
Se11 0.404 0.250 0.448
Se12 0.464 0.750 0.816
Se13 0.476 0.750 0.320
Se14 0.524 0.250 0.680
Se15 0.536 0.250 0.184
Se16 0.596 0.750 0.552
Se17 0.605 0.750 0.049
Se18 0.685 0.250 0.912
Se19 0.698 0.250 0.416
Se20 0.747 0.750 0.764
Se21 0.763 0.750 0.281
Se22 0.823 0.250 0.146
Se23 0.890 0.250 0.514
Se24 0.907 0.750 0.022
Se25 0.946 0.250 0.761
Se26 0.989 0.750 0.627
```

---

[4]
The following is a meta-GGA SCAN calculation of a crystal of BeGeS2N relaxed with PBEsol, from Alexandria via LeMat-Bulk.

CIF file:
```
data_BeGeS2N
_cell_length_a 4.730
_cell_length_b 4.730
_cell_length_c 3.553
_cell_angle_alpha 90.00
_cell_angle_beta 90.00
_cell_angle_gamma 90.00
_symmetry_space_group_name_H-M 'P 1'
_symmetry_Int_Tables_number 1
_symmetry_space_group_name_Hall 'P 1'
loop_
_atom_site_label
_atom_site_fract_x
_atom_site_fract_y
_atom_site_fract_z
Be1 0.000 0.000 0.000
Ge1 0.500 0.500 0.500
S1 0.000 0.500 0.500
S2 0.500 0.000 0.500
N1 0.500 0.500 0.000
```

Computed properties:
**Energy relative to the lowest polymorph listed for this composition**: 447 meV per atom

---

[5]
The following is a meta-GGA SCAN calculation of a crystal of La2CdSe relaxed with PBEsol, from Alexandria via LeMat-Bulk.

CIF file:
```
data_La2CdSe
_cell_length_a 8.131
_cell_length_b 8.131
_cell_length_c 8.131
_cell_angle_alpha 30.14
_cell_angle_beta 30.14
_cell_angle_gamma 30.14
_symmetry_space_group_name_H-M 'P 1'
_symmetry_Int_Tables_number 1
_symmetry_space_group_name_Hall 'P 1'
loop_
_atom_site_label
_atom_site_fract_x
_atom_site_fract_y
_atom_site_fract_z
La1 0.241 0.241 0.241
La2 0.759 0.759 0.759
Cd1 0.000 0.000 0.000
Se1 0.500 0.500 0.500
```

Computed properties:
**Energy relative to the lowest polymorph listed for this composition**: 0 meV per atom

---

[6]
The following is a meta-GGA SCAN calculation of a crystal of SmNiO3 relaxed with PBEsol, from Alexandria via LeMat-Bulk.

CIF file:
```
data_SmNiO3
_cell_length_a 5.398
_cell_length_b 7.468
_cell_length_c 5.251
_cell_angle_alpha 90.00
_cell_angle_beta 90.00
_cell_angle_gamma 90.00
_symmetry_space_group_name_H-M 'P 1'
_symmetry_Int_Tables_number 1
_symmetry_space_group_name_Hall 'P 1'
loop_
_atom_site_label
_atom_site_fract_x
_atom_site_fract_y
_atom_site_fract_z
Sm1 0.057 0.250 0.013
Sm2 0.443 0.750 0.513
Sm3 0.557 0.250 0.487
Sm4 0.943 0.750 0.987
Ni1 0.000 0.000 0.500
Ni2 0.000 0.500 0.500
Ni3 0.500 0.000 0.000
Ni4 0.500 0.500 0.000
O1 0.013 0.750 0.421
O2 0.209 0.542 0.792
O3 0.209 0.958 0.792
O4 0.291 0.042 0.292
O5 0.291 0.458 0.292
O6 0.487 0.250 0.921
O7 0.513 0.750 0.079
O8 0.709 0.542 0.708
O9 0.709 0.958 0.708
O10 0.791 0.042 0.208
O11 0.791 0.458 0.208
O12 0.987 0.250 0.579
```

---

[7]
The following is a meta-GGA SCAN calculation of a crystal of TcP2Pt relaxed with PBEsol, from Alexandria via LeMat-Bulk.

CIF file:
```
data_TcP2Pt
_cell_length_a 6.430
_cell_length_b 6.430
_cell_length_c 6.430
_cell_angle_alpha 131.80
_cell_angle_beta 131.80
_cell_angle_gamma 70.55
_symmetry_space_group_name_H-M 'P 1'
_symmetry_Int_Tables_number 1
_symmetry_space_group_name_Hall 'P 1'
loop_
_atom_site_label
_atom_site_fract_x
_atom_site_fract_y
_atom_site_fract_z
Tc1 0.000 0.000 0.000
Tc2 0.750 0.250 0.500
P1 0.117 0.625 0.992
P2 0.375 0.367 0.492
P3 0.633 0.125 0.008
P4 0.875 0.883 0.508
Pt1 0.250 0.750 0.500
Pt2 0.500 0.500 0.000
```

Computed properties:
**Energy of formation**: -1.36 eV/f.u.
**Energy relative to the lowest polymorph listed for this composition**: 0 meV per atom

---

[8]
The following is a meta-GGA SCAN calculation of a crystal of Si3BW relaxed with PBEsol, from Alexandria via LeMat-Bulk.

CIF file:
```
data_Si3BW
_cell_length_a 4.702
_cell_length_b 4.702
_cell_length_c 4.702
_cell_angle_alpha 90.00
_cell_angle_beta 90.00
_cell_angle_gamma 90.00
_symmetry_space_group_name_H-M 'P 1'
_symmetry_Int_Tables_number 1
_symmetry_space_group_name_Hall 'P 1'
loop_
_atom_site_label
_atom_site_fract_x
_atom_site_fract_y
_atom_site_fract_z
Si1 0.000 0.000 0.500
Si2 0.000 0.500 0.000
Si3 0.500 0.000 0.000
B1 0.500 0.500 0.500
W1 0.000 0.000 0.000
```

Computed properties:
**Energy relative to the lowest polymorph listed for this composition**: 398 meV per atom

---

[9]
The following is a meta-GGA SCAN calculation of a crystal of Ba2SrCd2 relaxed with PBEsol, from Alexandria via LeMat-Bulk.

CIF file:
```
data_Ba2SrCd2
_cell_length_a 9.401
_cell_length_b 9.401
_cell_length_c 4.519
_cell_angle_alpha 90.00
_cell_angle_beta 90.00
_cell_angle_gamma 90.00
_symmetry_space_group_name_H-M 'P 1'
_symmetry_Int_Tables_number 1
_symmetry_space_group_name_Hall 'P 1'
loop_
_atom_site_label
_atom_site_fract_x
_atom_site_fract_y
_atom_site_fract_z
Ba1 0.157 0.343 0.000
Ba2 0.343 0.843 0.000
Ba3 0.657 0.157 0.000
Ba4 0.843 0.657 0.000
Sr1 0.000 0.000 0.500
Sr2 0.500 0.500 0.500
Cd1 0.133 0.633 0.500
Cd2 0.367 0.133 0.500
Cd3 0.633 0.867 0.500
Cd4 0.867 0.367 0.500
```

Computed properties:
**Energy of formation**: -1.39 eV/f.u.

---

[10]
The following is a meta-GGA SCAN calculation of a crystal of CaPbW2 relaxed with PBEsol, from Alexandria via LeMat-Bulk.

CIF file:
```
data_CaPbW2
_cell_length_a 2.865
_cell_length_b 2.865
_cell_length_c 9.871
_cell_angle_alpha 90.00
_cell_angle_beta 90.00
_cell_angle_gamma 90.00
_symmetry_space_group_name_H-M 'P 1'
_symmetry_Int_Tables_number 1
_symmetry_space_group_name_Hall 'P 1'
loop_
_atom_site_label
_atom_site_fract_x
_atom_site_fract_y
_atom_site_fract_z
Ca1 0.000 0.000 0.000
Pb1 0.000 0.000 0.500
W1 0.500 0.500 0.259
W2 0.500 0.500 0.741
```

Computed properties:
**Energy of formation**: 5.05 eV/f.u.

---

[11]
The following is a meta-GGA SCAN calculation of a crystal of Ba2YPd2 relaxed with PBEsol, from Alexandria via LeMat-Bulk.

CIF file:
```
data_Ba2YPd2
_cell_length_a 6.587
_cell_length_b 6.587
_cell_length_c 6.587
_cell_angle_alpha 130.34
_cell_angle_beta 130.34
_cell_angle_gamma 72.86
_symmetry_space_group_name_H-M 'P 1'
_symmetry_Int_Tables_number 1
_symmetry_space_group_name_Hall 'P 1'
loop_
_atom_site_label
_atom_site_fract_x
_atom_site_fract_y
_atom_site_fract_z
Ba1 0.158 0.158 0.000
Ba2 0.842 0.842 0.000
Y1 0.500 0.500 0.000
Pd1 0.250 0.750 0.500
Pd2 0.750 0.250 0.500
```

Computed properties:
**Energy of formation**: 0.57 eV/f.u.

---

[12]
The following is a meta-GGA SCAN calculation of a crystal of YZr2W relaxed with PBEsol, from Alexandria via LeMat-Bulk.

CIF file:
```
data_YZr2W
_cell_length_a 4.804
_cell_length_b 4.804
_cell_length_c 4.804
_cell_angle_alpha 114.25
_cell_angle_beta 114.25
_cell_angle_gamma 100.28
_symmetry_space_group_name_H-M 'P 1'
_symmetry_Int_Tables_number 1
_symmetry_space_group_name_Hall 'P 1'
loop_
_atom_site_label
_atom_site_fract_x
_atom_site_fract_y
_atom_site_fract_z
Y1 0.000 0.000 0.000
Zr1 0.500 0.500 0.000
Zr2 0.750 0.250 0.500
W1 0.250 0.750 0.500
```

Computed properties:
**Energy of formation**: 1.75 eV/f.u.
**Energy relative to the lowest polymorph listed for this composition**: 166 meV per atom

---

Number 1: raw total energy -18.99 eV/atom. Number 2: raw total energy -23.91 eV/atom. Number 3: raw total energy -42.49 eV/atom. Number 4: raw total energy -9.43 eV/atom. Number 5: raw total energy -35.39 eV/atom. Number 6: raw total energy -18.43 eV/atom. Number 7: raw total energy -31.85 eV/atom. Number 8: raw total energy -19.89 eV/atom. Number 9: raw total energy -32.72 eV/atom. Number 10: raw total energy -54.94 eV/atom. Number 11: raw total energy -34.38 eV/atom. Number 12: raw total energy -39.30 eV/atom.